An optimized crystal structure of Sc2CuF. Source: Alexandria, functional PBE-GGA.

a = 6.263 Å, b = 6.263 Å, c = 7.118 Å
α = 90.00°, β = 90.00°, γ = 90.00°
Fractional coordinates of all 16 atoms:
1 Sc 0.195 0.250 0.125
2 Sc 0.250 0.695 0.375
3 Sc 0.250 0.805 0.875
4 Sc 0.305 0.250 0.625
5 Sc 0.695 0.750 0.625
6 Sc 0.750 0.195 0.875
7 Sc 0.750 0.305 0.375
8 Sc 0.805 0.750 0.125
9 Cu 0.000 0.000 0.500
10 Cu 0.000 0.500 0.750
11 Cu 0.500 0.000 0.250
12 Cu 0.500 0.500 0.000
13 F 0.000 0.000 0.000
14 F 0.000 0.500 0.250
15 F 0.500 0.000 0.750
16 F 0.500 0.500 0.500

## Properties
For the uncorrected formation energy, the calculation gives -1.086 eV/atom. The value obtained for the density of states at the Fermi level is 3.246 states/eV/f.u. As for the calculated total energy: -5.7433 eV per atom. The total magnetic moment comes out at 0.00 μB/f.u.